(1)
The following is a DFT calculation (PBE) of a geometry-optimized K2BaCu structure.

Lattice parameters (Å, degrees): 6.3269 6.3269 6.3269 60.00 60.00 60.00
Atoms (fractional coordinates):
K 0.2500 0.2500 0.2500
K 0.7500 0.7500 0.7500
Ba 0.5000 0.5000 0.5000
Cu 0.0000 0.0000 0.0000

Properties
Space-group type   Fm-3m, No. 225
Formation energy from the elements   490 meV/atom
V   179.1 Å³/cell

---

(2)
The following is a DFT calculation (PBE) of a geometry-optimized KBa2Cu structure.

Lattice parameters (Å, degrees): 7.6902 7.6902 7.6902 146.76 124.32 66.41
Atoms (fractional coordinates):
Ba 0.9272 0.9272 0.0000
Ba 0.5728 0.5728 0.0000
Cu 0.7500 0.2500 0.5000
K 0.2500 0.7500 0.5000

Properties
Space-group type   Immm, No. 71
Formation energy from the elements   175 meV/atom
V   203.3 Å³/cell

---

(3)
The following is a DFT calculation (PBE) of a geometry-optimized KBaCu3 structure.

Lattice parameters (Å, degrees): 5.5268 5.5268 5.5268 90.00 90.00 90.00
Atoms (fractional coordinates):
K 0.0000 0.0000 0.0000
Ba 0.5000 0.5000 0.5000
Cu 0.0000 0.5000 0.0000
Cu 0.0000 0.0000 0.5000
Cu 0.5000 0.0000 0.0000

Properties
Space-group type   Pm-3m, No. 221
Formation energy from the elements   803 meV/atom
V   168.8 Å³/cell

---

(4)
The following is a DFT calculation (PBE) of a geometry-optimized KBa3Cu structure.

Lattice parameters (Å, degrees): 6.5358 6.5358 6.5358 90.00 90.00 90.00
Atoms (fractional coordinates):
K 0.5000 0.5000 0.5000
Ba 0.0000 0.5000 0.0000
Ba 0.0000 0.0000 0.5000
Ba 0.5000 0.0000 0.0000
Cu 0.0000 0.0000 0.0000

Properties
Space-group type   Pm-3m, No. 221
Formation energy from the elements   37 meV/atom
V   279.2 Å³/cell

---

(5)
The following is a DFT calculation (PBE) of a geometry-optimized KBaCu2 structure.

Lattice parameters (Å, degrees): 4.6369 4.6369 8.4544 74.03 74.03 60.22
Atoms (fractional coordinates):
Ba 0.2500 0.2500 0.2500
Cu 0.9928 0.9928 0.0173
Cu 0.5072 0.5072 0.4827
K 0.7500 0.7500 0.7500

Properties
Space-group type   C2/m, No. 12
Formation energy from the elements   328 meV/atom
V   149.6 Å³/cell

---

(6)
The following is a DFT calculation (PBE) of a geometry-optimized KBa3Cu structure.

Lattice parameters (Å, degrees): 6.8910 6.8910 6.8910 90.00 90.00 90.00
Site moments in Bohr magnetons follow the coordinates.
Atoms (fractional coordinates):
K 0.0000 0.0000 0.0000  0.09
Ba 0.0000 0.5000 0.0000  0.22
Ba 0.0000 0.0000 0.5000  0.24
Ba 0.5000 0.0000 0.0000  0.17
Cu 0.5000 0.5000 0.5000  0.01

Properties
Space-group type   Pm-3m, No. 221
Formation energy from the elements   963 meV/atom
V   327.2 Å³/cell